Here is ThTl2W3O12 after structural relaxation from Alexandria. Energies are from GGA+U.

a = 7.5072 Å, b = 7.5072 Å, c = 19.5598 Å
α = 90.00°, β = 90.00°, γ = 120.00°
Space group R-3m (No. 166, hexagonal axes)
Inequivalent atoms, fractional coordinates:
1 Th 0.0000 0.0000 0.0000 (multiplicity 3)
2 Tl 0.0000 0.0000 0.3325 (multiplicity 6)
3 W 0.0000 0.5000 0.5000 (multiplicity 9)
4 O 0.0428 0.5214 0.5978 (multiplicity 18)
5 O 0.0926 0.5463 0.8440 (multiplicity 18)

Results
VASP energy in eV/cell: -394.6
M_tot in μB per cell: 0.000